[1]
## Pt2Rh (PBE)

Data for a relaxed structure of Pt2Rh.

Results
* energy relative to the elements: 0.450 eV per atom
* electronic total energy: -6.028 eV per atom

Cell and atoms, written as CIF:
```
data_Pt2Rh
_cell_length_a 4.4740
_cell_length_b 4.4740
_cell_length_c 2.7326
_cell_angle_alpha 90.00
_cell_angle_beta 90.00
_cell_angle_gamma 90.00
_symmetry_space_group_name_H-M 'P 4/m m m'
_symmetry_Int_Tables_number 123
_symmetry_space_group_name_Hall '-P 4 2'
loop_
_atom_site_label
_atom_site_fract_x
_atom_site_fract_y
_atom_site_fract_z
_atom_site_occupancy
Pt1 0.0000 0.5000 0.0000 1
Rh1 0.0000 0.0000 0.5000 1
```


[2]
## Ho6Cd5Sn (PBE)

Data for a relaxed structure of Ho6Cd5Sn.

Results
* energy relative to the elements: -0.385 eV per atom
* electronic total energy: -3.389 eV per atom

Cell and atoms, written as CIF:
```
data_Ho6Cd5Sn
_cell_length_a 5.2888
_cell_length_b 15.9136
_cell_length_c 7.3837
_cell_angle_alpha 90.00
_cell_angle_beta 90.00
_cell_angle_gamma 90.00
_symmetry_space_group_name_H-M 'C m m m'
_symmetry_Int_Tables_number 65
_symmetry_space_group_name_Hall '-C 2 2'
loop_
_atom_site_label
_atom_site_fract_x
_atom_site_fract_y
_atom_site_fract_z
_atom_site_occupancy
Ho1 0.0000 0.0000 0.2478 1
Ho2 0.0000 0.3337 0.2517 1
Cd1 0.0000 0.1658 0.5000 1
Cd2 0.0000 0.1744 0.0000 1
Cd3 0.0000 0.5000 0.5000 1
Sn1 0.0000 0.5000 0.0000 1
```


[3]
## Rh3WSe (PBE)

Data for a relaxed structure of Rh3WSe.

Results
* electronic total energy: -6.576 eV per atom
* relative energy among the computed polymorphs: 0 meV/atom
* formation energy without anion corrections: 1.12 eV per atom

Cell and atoms, written as CIF:
```
data_Rh3WSe
_cell_length_a 4.5188
_cell_length_b 4.5188
_cell_length_c 4.5188
_cell_angle_alpha 90.00
_cell_angle_beta 90.00
_cell_angle_gamma 90.00
_symmetry_space_group_name_H-M 'P m -3 m'
_symmetry_Int_Tables_number 221
_symmetry_space_group_name_Hall '-P 4 2 3'
loop_
_atom_site_label
_atom_site_fract_x
_atom_site_fract_y
_atom_site_fract_z
_atom_site_occupancy
Rh1 0.0000 0.0000 0.5000 1
W1 0.5000 0.5000 0.5000 1
Se1 0.0000 0.0000 0.0000 1
```